Crystalline NaSr2LiZn at its relaxed geometry. Source: Alexandria, functional GGA-PBE.

Cell lengths 6.169, 6.169, 5.590 Å; angles 90.00, 90.00, 90.00 degrees
Element x y z (fractional)
Sr: 0.000 0.500 0.000
Sr: 0.500 0.000 0.000
Zn: 0.000 0.000 0.000
Na: 0.000 0.000 0.500
Li: 0.500 0.500 0.500

energy relative to the lowest polymorph listed for this composition = 79.2 meV/atom
space-group type = No. 123
final energy = -7.31 eV/f.u.